[1]
Ca3Ru5O12, optimized geometry, DFT PBE-GGA; E_form (uncorrected) = -1411 meV per atom; space-group type = Ia-3d; DFT total energy = -7.005 eV per atom; crystal system = cubic
1.0
11.017 0.000 0.000
-3.672 10.387 0.000
-3.672 -5.193 8.995
O Ca Ru
48 12 20
direct
0.580 0.878 0.404 O
0.176 0.080 0.702 O
0.474 0.798 0.878 O
0.202 0.676 0.080 O
0.176 0.096 0.974 O
0.798 0.474 0.378 O
0.904 0.080 0.878 O
0.974 0.596 0.176 O
0.298 0.878 0.974 O
0.122 0.702 0.526 O
0.080 0.176 0.202 O
0.702 0.580 0.176 O
0.622 0.026 0.202 O
0.298 0.420 0.824 O
0.404 0.378 0.580 O
0.526 0.324 0.904 O
0.824 0.904 0.026 O
0.824 0.920 0.298 O
0.026 0.404 0.824 O
0.920 0.096 0.622 O
0.878 0.298 0.474 O
0.420 0.122 0.596 O
0.096 0.920 0.122 O
0.676 0.474 0.596 O
0.404 0.026 0.324 O
0.798 0.324 0.920 O
0.622 0.596 0.920 O
0.324 0.798 0.420 O
0.202 0.526 0.622 O
0.974 0.378 0.298 O
0.904 0.824 0.526 O
0.378 0.974 0.798 O
0.096 0.176 0.474 O
0.580 0.702 0.676 O
0.676 0.202 0.580 O
0.080 0.904 0.378 O
0.378 0.404 0.080 O
0.122 0.420 0.096 O
0.596 0.974 0.676 O
0.474 0.676 0.096 O
0.526 0.202 0.122 O
0.324 0.526 0.404 O
0.920 0.824 0.798 O
0.596 0.622 0.420 O
0.878 0.580 0.904 O
0.420 0.298 0.324 O
0.702 0.122 0.026 O
0.026 0.622 0.702 O
0.875 0.125 0.250 Ca
0.250 0.125 0.375 Ca
0.250 0.625 0.875 Ca
0.875 0.750 0.125 Ca
0.750 0.875 0.625 Ca
0.375 0.625 0.250 Ca
0.125 0.250 0.875 Ca
0.625 0.375 0.750 Ca
0.375 0.750 0.625 Ca
0.750 0.375 0.125 Ca
0.625 0.250 0.375 Ca
0.125 0.875 0.750 Ca
0.125 0.750 0.375 Ru
0.000 0.000 0.000 Ru
0.500 0.000 0.000 Ru
0.750 0.625 0.375 Ru
0.000 0.500 0.500 Ru
0.500 0.500 0.000 Ru
0.500 0.500 0.500 Ru
0.000 0.000 0.500 Ru
0.500 0.000 0.500 Ru
0.625 0.875 0.250 Ru
0.125 0.375 0.250 Ru
0.375 0.250 0.125 Ru
0.625 0.750 0.875 Ru
0.250 0.375 0.625 Ru
0.375 0.125 0.750 Ru
0.250 0.875 0.125 Ru
0.000 0.500 0.000 Ru
0.875 0.625 0.750 Ru
0.750 0.125 0.875 Ru
0.875 0.250 0.625 Ru

[2]
CaRuO3, optimized geometry, DFT PBE-GGA; E_form (uncorrected) = -1590 meV per atom; space-group type = Ama2; DFT total energy = -6.820 eV per atom; crystal system = orthorhombic
1.0
-2.767 2.797 -0.708
-0.756 -1.989 -4.902
-4.601 -3.297 4.960
O Ca Ru
6 2 2
direct
0.250 0.104 0.241 O
0.250 0.654 0.387 O
0.250 0.518 0.886 O
0.750 0.863 0.759 O
0.750 0.267 0.613 O
0.750 0.632 0.114 O
0.750 0.378 0.345 Ca
0.250 0.033 0.655 Ca
0.250 0.733 0.158 Ru
0.750 0.575 0.842 Ru

[3]
Ca3Ru4O14, optimized geometry, DFT PBE-GGA; E_form (uncorrected) = -1398 meV per atom; space-group type = R-3m; DFT total energy = -6.756 eV per atom; crystal system = trigonal
1.0
7.294 0.000 0.000
-3.647 6.271 0.008
3.647 2.114 5.952
Ru O Ca
4 14 3
direct
0.500 0.500 0.000 Ru
0.000 0.000 0.000 Ru
0.500 0.000 0.000 Ru
0.000 0.000 0.500 Ru
0.127 0.070 0.686 O
0.873 0.930 0.314 O
0.362 0.680 0.069 O
0.231 0.596 0.635 O
0.244 0.930 0.314 O
0.244 0.930 0.942 O
0.251 0.320 0.318 O
0.749 0.680 0.682 O
0.251 0.320 0.931 O
0.749 0.680 0.069 O
0.756 0.070 0.058 O
0.769 0.404 0.365 O
0.756 0.070 0.686 O
0.638 0.320 0.931 O
0.000 0.500 0.000 Ca
0.000 0.500 0.500 Ca
0.500 0.500 0.500 Ca

[4]
Ca2RuO5, optimized geometry, DFT PBE-GGA; E_form (uncorrected) = -1864 meV per atom; space-group type = Cmcm; DFT total energy = -6.623 eV per atom; crystal system = orthorhombic
1.0
4.055 0.000 0.000
-2.027 5.734 0.000
0.000 0.000 10.486
O Ca Ru
10 4 2
direct
0.280 0.560 0.109 O
0.295 0.590 0.750 O
0.050 0.100 0.127 O
0.720 0.440 0.891 O
0.050 0.100 0.373 O
0.280 0.560 0.391 O
0.720 0.440 0.609 O
0.950 0.900 0.627 O
0.705 0.410 0.250 O
0.950 0.900 0.873 O
0.855 0.710 0.430 Ca
0.145 0.290 0.930 Ca
0.145 0.290 0.570 Ca
0.855 0.710 0.070 Ca
0.167 0.335 0.250 Ru
0.833 0.665 0.750 Ru

[5]
Ca3Ru2O7, optimized geometry, DFT PBE-GGA; E_form (uncorrected) = -1994 meV per atom; space-group type = Cmc2_1; DFT total energy = -6.932 eV per atom; crystal system = orthorhombic
1.0
-6.876 -4.600 5.918
5.561 0.017 -8.517
4.138 -2.717 2.696
O Ru Ca
14 4 6
direct
0.157 0.157 0.275 O
0.633 0.474 0.450 O
0.068 0.830 0.045 O
0.932 0.170 0.545 O
0.127 0.525 0.226 O
0.843 0.843 0.775 O
0.367 0.526 0.950 O
0.830 0.068 0.045 O
0.873 0.475 0.726 O
0.475 0.873 0.726 O
0.170 0.932 0.545 O
0.525 0.127 0.226 O
0.474 0.633 0.450 O
0.526 0.367 0.950 O
0.347 0.148 0.251 Ru
0.653 0.852 0.751 Ru
0.148 0.347 0.251 Ru
0.852 0.653 0.751 Ru
0.069 0.446 0.810 Ca
0.268 0.268 0.689 Ca
0.931 0.554 0.310 Ca
0.732 0.732 0.189 Ca
0.554 0.931 0.310 Ca
0.446 0.069 0.810 Ca

[6]
Ca2Ru3O8, optimized geometry, DFT PBE-GGA; E_form (uncorrected) = -1575 meV per atom; space-group type = C2/m; DFT total energy = -7.074 eV per atom; crystal system = monoclinic
1.0
-2.232 1.064 4.627
-4.968 -3.120 -1.680
5.445 -3.292 1.097
Ru O Ca
3 8 2
direct
0.000 0.734 0.000 Ru
0.000 0.266 0.000 Ru
0.500 0.000 0.000 Ru
0.604 0.118 0.786 O
0.912 0.097 0.194 O
0.604 0.668 0.786 O
0.059 0.391 0.781 O
0.941 0.609 0.219 O
0.396 0.332 0.214 O
0.088 0.903 0.806 O
0.396 0.882 0.214 O
0.334 0.272 0.544 Ca
0.666 0.728 0.456 Ca

[7]
Ca3RuO, optimized geometry, DFT PBE-GGA; E_form (uncorrected) = -924 meV per atom; space-group type = Pm-3m; polymorph energy (0 for the lowest one) = 0 meV per atom; DFT total energy = -4.972 eV per atom; crystal system = cubic
1.0
4.691 0.000 0.000
0.000 4.691 0.000
0.000 0.000 4.691
O Ca Ru
1 3 1
direct
0.000 0.000 0.000 O
0.000 0.500 0.000 Ca
0.500 0.000 0.000 Ca
0.000 0.000 0.500 Ca
0.500 0.500 0.500 Ru

[8]
CaRuO2, optimized geometry, DFT PBE-GGA; E_form (uncorrected) = -1469 meV per atom; space-group type = R-3m; polymorph energy (0 for the lowest one) = 0 meV per atom; DFT total energy = -6.767 eV per atom; crystal system = trigonal
1.0
0.002 6.554 0.160
1.106 5.652 3.134
3.166 5.714 0.558
O Ru Ca
2 1 1
direct
0.900 0.900 0.900 O
0.100 0.100 0.100 O
0.000 0.000 0.000 Ru
0.500 0.500 0.500 Ca

[9]
CaRuO2, optimized geometry, DFT PBE-GGA; E_form (uncorrected) = -965 meV per atom; space-group type = Fm-3m; polymorph energy (0 for the lowest one) = 503 meV per atom; DFT total energy = -6.264 eV per atom; crystal system = cubic
1.0
0.000 2.828 2.828
2.828 0.000 2.828
2.828 2.828 0.000
O Ru Ca
2 1 1
direct
0.750 0.750 0.750 O
0.250 0.250 0.250 O
0.500 0.500 0.500 Ru
0.000 0.000 0.000 Ca

[10]
CaRuO3, optimized geometry, DFT PBE-GGA; E_form (uncorrected) = 107 meV per atom; space-group type = Pm-3m; DFT total energy = -5.124 eV per atom; crystal system = cubic
1.0
-0.551 2.806 3.047
-4.141 -0.455 -0.330
0.110 -3.062 2.841
O Ru Ca
3 1 1
direct
0.500 0.000 0.000 O
0.000 0.000 0.500 O
0.000 0.500 0.000 O
0.500 0.500 0.500 Ru
0.000 0.000 0.000 Ca

[11]
CaRuO2, optimized geometry, DFT PBE-GGA; E_form (uncorrected) = -1280 meV per atom; space-group type = I-42d; polymorph energy (0 for the lowest one) = 189 meV per atom; DFT total energy = -6.578 eV per atom; crystal system = tetragonal
1.0
-0.413 0.113 4.549
0.002 -4.568 0.113
5.455 -2.212 2.845
Ca Ru O
2 2 4
direct
0.500 0.500 0.000 Ca
0.250 0.750 0.500 Ca
0.750 0.250 0.500 Ru
0.000 0.000 0.000 Ru
0.875 0.933 0.750 O
0.683 0.125 0.250 O
0.375 0.317 0.750 O
0.067 0.625 0.250 O

[12]
Ca3RuO, optimized geometry, DFT PBE-GGA; E_form (uncorrected) = 177 meV per atom; space-group type = Pm-3m; polymorph energy (0 for the lowest one) = 1101 meV per atom; DFT total energy = -3.871 eV per atom; crystal system = cubic
1.0
-0.920 -2.532 4.495
5.055 -1.357 0.270
1.034 4.383 2.680
Ca Ru O
3 1 1
direct
0.000 0.000 0.500 Ca
0.500 0.000 0.000 Ca
0.000 0.500 0.000 Ca
0.000 0.000 0.000 Ru
0.500 0.500 0.500 O